# 1
Entry from OQMD via LeMat-Bulk: LuTaCuIr after structural relaxation (GGA-PBE).

Lattice parameters (Å, degrees): 4.5332 4.5332 4.5332 60.00 60.00 60.00
Last column: nearest neighbours and their distance in Å.
Fractional coordinates of all 4 atoms:
Ir 0.0000 0.0000 0.0000  4 Cu 2.78, 4 Ta 2.78
Lu 0.5000 0.5000 0.5000  4 Cu 2.78, 4 Ta 2.78
Ta 0.2500 0.2500 0.2500  4 Ir 2.78, 4 Lu 2.78
Cu 0.7500 0.7500 0.7500  4 Ir 2.78, 4 Lu 2.78

Energy above the most stable polymorph in this dataset (meV per atom): 92
Formation energy (eV per atom): -0.22
Crystal system: cubic


# 2
Entry from OQMD via LeMat-Bulk: Ho2GaCo2 after structural relaxation (GGA-PBE).

Lattice parameters (Å, degrees): 5.3785 5.3785 7.5301 102.43 102.43 59.41
Last column: nearest neighbours and their distance in Å.
Fractional coordinates of all 10 atoms:
Ho 0.4956 0.7961 0.1458  6 Co 2.85-2.97, 2 Ga 3.10-3.17
Co 0.7090 0.0047 0.4938  1 Co 2.30, 2 Ga 2.53-2.54
Ga 0.8674 0.1326 0.2500  4 Co 2.53-2.54
Ho 0.5044 0.2039 0.8542  6 Co 2.85-2.97, 2 Ga 3.10-3.17
Co 0.0047 0.7090 0.9938  1 Co 2.30, 2 Ga 2.53-2.54
Co 0.2910 0.9953 0.5062  1 Co 2.30, 2 Ga 2.53-2.54
Ho 0.7961 0.4956 0.6458  6 Co 2.85-2.97, 2 Ga 3.10-3.17
Co 0.9953 0.2910 0.0062  1 Co 2.30, 2 Ga 2.53-2.54
Ho 0.2039 0.5044 0.3542  6 Co 2.85-2.97, 2 Ga 3.10-3.17
Ga 0.1326 0.8674 0.7500  4 Co 2.53-2.54

Crystal system: monoclinic
Calculated total energy (eV for the cell shown): -57.09


# 3
Entry from OQMD via LeMat-Bulk: Hf2SiTe2 after structural relaxation (GGA-PBE).

Lattice parameters (Å, degrees): 5.9091 5.9091 5.9091 126.63 126.63 78.85
Last column: nearest neighbours and their distance in Å.
Fractional coordinates of all 5 atoms:
Te 0.3424 0.3424 0.0000  4 Hf 2.78, 1 Te 2.88
Si 0.0000 0.0000 0.0000  2 Te 3.13, 8 Hf 3.50
Te 0.6576 0.6576 0.0000  4 Hf 2.78, 1 Te 2.88
Hf 0.7500 0.2500 0.5000  4 Te 2.78
Hf 0.2500 0.7500 0.5000  4 Te 2.78

Energy above the most stable polymorph in this dataset (meV per atom): 0
Crystal system: tetragonal


# 4
Entry from OQMD via LeMat-Bulk: NbAsAu2 after structural relaxation (GGA-PBE).

Lattice parameters (Å, degrees): 4.6354 4.6354 4.6354 60.00 60.00 60.00
Last column: nearest neighbours and their distance in Å.
Fractional coordinates of all 4 atoms:
As 0.5000 0.5000 0.5000  4 Nb 2.84, 4 Au 2.84
Au 0.0000 0.0000 0.0000  4 Nb 2.84, 4 Au 2.84
Au 0.7500 0.7500 0.7500  4 As 2.84, 4 Au 2.84
Nb 0.2500 0.2500 0.2500  4 As 2.84, 4 Au 2.84

Crystal system: cubic
Calculated total energy (eV for the cell shown): -20.95


How do the records compare in theoretical density? In the order shown, they have 15.42; 9.46; 8.27; 13.24 g/cm³.